# PBE-GGA HfAuN, relaxed
# * space group: P4/nmm (129)
# * DOS(E_F): 1.4 states/eV/cell
# * formation energy without anion corrections: -3.18 eV/f.u.
data_HfAuN
_chemical_formula_sum 'Hf2 Au2 N2'
_space_group_name_H-M_alt 'P 1'
_space_group_IT_number 1
_space_group_name_Hall 'P 1'
_cell_length_a 3.841
_cell_length_b 3.841
_cell_length_c 6.524
_cell_angle_alpha 90.00
_cell_angle_beta 90.00
_cell_angle_gamma 90.00
loop_
_atom_site_label
_atom_site_type_symbol
_atom_site_fract_x
_atom_site_fract_y
_atom_site_fract_z
Au1 Au 0.500 0.000 0.928
N1 N 0.000 0.000 0.500
Hf1 Hf 0.500 0.000 0.361
Au2 Au 0.000 0.500 0.072
N2 N 0.500 0.500 0.500
Hf2 Hf 0.000 0.500 0.639

# PBE-GGA Hf2AuN, relaxed
# * space group: R-3m (166)
# * DOS(E_F): 1.6 states/eV/cell
# * formation energy without anion corrections: -4.42 eV/f.u.
data_Hf2AuN
_chemical_formula_sum 'Hf2 Au1 N1'
_space_group_name_H-M_alt 'P 1'
_space_group_IT_number 1
_space_group_name_Hall 'P 1'
_cell_length_a 3.258
_cell_length_b 3.258
_cell_length_c 7.247
_cell_angle_alpha 77.01
_cell_angle_beta 77.01
_cell_angle_gamma 60.00
loop_
_atom_site_label
_atom_site_type_symbol
_atom_site_fract_x
_atom_site_fract_y
_atom_site_fract_z
Hf1 Hf 0.726 0.726 0.823
Hf2 Hf 0.274 0.274 0.177
Au1 Au 0.500 0.500 0.500
N1 N 0.000 0.000 0.000

# PBE-GGA HfAuN, relaxed
# * space group: P1 (1)
# * DOS(E_F): 0.4 states/eV/cell
# * formation energy without anion corrections: -2.54 eV/f.u.
data_HfAuN
_chemical_formula_sum 'Hf1 Au1 N1'
_space_group_name_H-M_alt 'P 1'
_space_group_IT_number 1
_space_group_name_Hall 'P 1'
_cell_length_a 2.969
_cell_length_b 3.117
_cell_length_c 5.286
_cell_angle_alpha 79.17
_cell_angle_beta 90.04
_cell_angle_gamma 90.00
loop_
_atom_site_label
_atom_site_type_symbol
_atom_site_fract_x
_atom_site_fract_y
_atom_site_fract_z
Hf1 Hf 0.200 0.285 0.898
Au1 Au 0.702 0.047 0.378
N1 N 0.699 0.802 0.840

# PBE-GGA Hf3Au2N, relaxed
# * space group: Cmmm (65)
# * DOS(E_F): 5.7 states/eV/cell
# * formation energy without anion corrections: -5.51 eV/f.u.
data_Hf3Au2N
_chemical_formula_sum 'Hf6 Au4 N2'
_space_group_name_H-M_alt 'P 1'
_space_group_IT_number 1
_space_group_name_Hall 'P 1'
_cell_length_a 4.520
_cell_length_b 6.441
_cell_length_c 8.096
_cell_angle_alpha 113.41
_cell_angle_beta 106.22
_cell_angle_gamma 89.99
loop_
_atom_site_label
_atom_site_type_symbol
_atom_site_fract_x
_atom_site_fract_y
_atom_site_fract_z
Au1 Au 0.307 0.057 0.613
Hf1 Hf 0.500 0.250 0.000
Au2 Au 0.307 0.557 0.613
Hf2 Hf 0.500 0.750 0.000
Hf3 Hf 0.888 0.888 0.775
Au3 Au 0.693 0.943 0.387
Au4 Au 0.693 0.443 0.387
N1 N 0.000 0.250 0.000
Hf4 Hf 0.112 0.112 0.225
Hf5 Hf 0.112 0.612 0.225
Hf6 Hf 0.888 0.388 0.775
N2 N 0.000 0.750 0.000

# PBE-GGA HfAuNO2, relaxed
# * space group: P4/mmm (123)
# * DOS(E_F): 7.4 states/eV/cell
# * formation energy without anion corrections: -3.55 eV/f.u.
data_HfAuNO2
_chemical_formula_sum 'Hf1 Au1 N1 O2'
_space_group_name_H-M_alt 'P 1'
_space_group_IT_number 1
_space_group_name_Hall 'P 1'
_cell_length_a 4.043
_cell_length_b 4.043
_cell_length_c 4.384
_cell_angle_alpha 90.00
_cell_angle_beta 90.00
_cell_angle_gamma 90.00
loop_
_atom_site_label
_atom_site_type_symbol
_atom_site_fract_x
_atom_site_fract_y
_atom_site_fract_z
N1 N 0.000 0.000 0.500
O1 O 0.500 0.000 0.000
Au1 Au 0.500 0.500 0.500
Hf1 Hf 0.000 0.000 0.000
O2 O 0.000 0.500 0.000

# PBE-GGA HfAuNO2, relaxed
# * space group: P4/mmm (123)
# * DOS(E_F): 2.5 states/eV/cell
# * formation energy without anion corrections: 1.62 eV/f.u.
data_HfAuNO2
_chemical_formula_sum 'Hf1 Au1 N1 O2'
_space_group_name_H-M_alt 'P 1'
_space_group_IT_number 1
_space_group_name_Hall 'P 1'
_cell_length_a 4.035
_cell_length_b 4.035
_cell_length_c 4.055
_cell_angle_alpha 90.00
_cell_angle_beta 90.00
_cell_angle_gamma 90.00
loop_
_atom_site_label
_atom_site_type_symbol
_atom_site_fract_x
_atom_site_fract_y
_atom_site_fract_z
O1 O 0.000 0.500 0.000
Hf1 Hf 0.500 0.500 0.500
Au1 Au 0.000 0.000 0.000
N1 N 0.000 0.000 0.500
O2 O 0.500 0.000 0.000

> The highest formation energy without anion corrections belongs to which entry?

number 6

Copy entry 2 word for word.
# PBE-GGA Hf2AuN, relaxed
# * space group: R-3m (166)
# * DOS(E_F): 1.6 states/eV/cell
# * formation energy without anion corrections: -4.42 eV/f.u.
data_Hf2AuN
_chemical_formula_sum 'Hf2 Au1 N1'
_space_group_name_H-M_alt 'P 1'
_space_group_IT_number 1
_space_group_name_Hall 'P 1'
_cell_length_a 3.258
_cell_length_b 3.258
_cell_length_c 7.247
_cell_angle_alpha 77.01
_cell_angle_beta 77.01
_cell_angle_gamma 60.00
loop_
_atom_site_label
_atom_site_type_symbol
_atom_site_fract_x
_atom_site_fract_y
_atom_site_fract_z
Hf1 Hf 0.726 0.726 0.823
Hf2 Hf 0.274 0.274 0.177
Au1 Au 0.500 0.500 0.500
N1 N 0.000 0.000 0.000